(1)
This record from Alexandria via LeMat-Bulk describes a geometry-optimized AcSm3Pt structure. The functional is GGA-PBE.

Output
E above lowest polymorph   0 meV per atom

CIF file:
```
data_AcSm3Pt
_symmetry_space_group_name_H-M 'P 1 21/c 1'
_symmetry_Int_Tables_number 14
_cell_length_a 8.356
_cell_length_b 7.649
_cell_length_c 10.478
_cell_angle_alpha 90.00
_cell_angle_beta 106.86
_cell_angle_gamma 90.00
loop_
_symmetry_equiv_pos_as_xyz
'x,y,z'
'-x,-y,-z'
'-x,y+1/2,-z+1/2'
'x,-y+1/2,z+1/2'
loop_
_atom_site_label
_atom_site_fract_x
_atom_site_fract_y
_atom_site_fract_z
Ac1 0.179 0.040 0.254
Sm1 0.069 0.703 0.026
Sm2 0.289 0.512 0.381
Sm3 0.412 0.130 0.607
Pt1 0.439 0.744 0.604
```

(2)
This record from Alexandria via LeMat-Bulk describes a geometry-optimized Ac4SmPt5 structure. The functional is GGA-PBE.

Output
E_tot   -125.6 eV for the cell shown

CIF file:
```
data_Ac4SmPt5
_symmetry_space_group_name_H-M 'I 4/m m m'
_symmetry_Int_Tables_number 139
_symmetry_space_group_name_Hall '-I 4 2'
_cell_length_a 4.345
_cell_length_b 4.345
_cell_length_c 30.741
_cell_angle_alpha 90.00
_cell_angle_beta 90.00
_cell_angle_gamma 90.00
loop_
_atom_site_label
_atom_site_fract_x
_atom_site_fract_y
_atom_site_fract_z
Ac1 0.000 0.000 0.098
Ac2 0.000 0.000 0.301
Sm1 0.000 0.000 0.500
Pt1 0.000 0.000 0.000
Pt2 0.000 0.000 0.200
Pt3 0.000 0.000 0.403
```

(3)
This record from Alexandria via LeMat-Bulk describes a geometry-optimized AcSmSnPt structure. The functional is GGA-PBE.

Output
E above lowest polymorph   0 meV per atom

CIF file:
```
data_AcSmSnPt
_symmetry_space_group_name_H-M 'F -4 3 m'
_symmetry_Int_Tables_number 216
_symmetry_space_group_name_Hall 'F -4 2 3'
_cell_length_a 7.682
_cell_length_b 7.682
_cell_length_c 7.682
_cell_angle_alpha 90.00
_cell_angle_beta 90.00
_cell_angle_gamma 90.00
loop_
_atom_site_label
_atom_site_fract_x
_atom_site_fract_y
_atom_site_fract_z
Ac1 0.000 0.000 0.000
Sm1 0.000 0.000 0.500
Sn1 0.250 0.250 0.250
Pt1 0.250 0.250 0.750
```